A relaxed ErSi4Pt6 crystal, computed with GGA-PBE.

Summary:
Total magnetic moment (μB/f.u.): 0.00
Symmetry: No. 121
Raw total energy (eV per cell): -70.30
Uncorrected formation energy (eV/atom): -0.71

a b c (Å): 6.3792 6.3792 6.3792
angles (deg): 116.74 116.74 95.74
Fractional positions:
Er 0.0000 0.0000 0.0000
Si 0.1463 0.5594 0.0000
Si 0.4406 0.4406 0.5869
Si 0.5594 0.1463 0.0000
Si 0.8537 0.8537 0.4131
Pt 0.0000 0.5000 0.5000
Pt 0.2113 0.2113 0.6967
Pt 0.4853 0.7887 0.0000
Pt 0.5000 0.0000 0.5000
Pt 0.5147 0.5147 0.3033
Pt 0.7887 0.4853 0.0000

A relaxed Sm2ErSi3Pt12 crystal, computed with GGA-PBE.

Summary:
Total magnetic moment (μB/f.u.): 0.00
Symmetry: No. 166
Raw total energy (eV per cell): -112.94
Uncorrected formation energy (eV/atom): -0.57

a b c (Å): 7.6639 7.6639 7.6639
angles (deg): 65.88 65.88 65.88
Fractional positions:
Sm 0.0984 0.0984 0.0984
Sm 0.9016 0.9016 0.9016
Er 0.5000 0.5000 0.5000
Si 0.0000 0.5000 0.5000
Si 0.5000 0.0000 0.5000
Si 0.5000 0.5000 0.0000
Pt 0.1014 0.6463 0.6463
Pt 0.1491 0.1491 0.6009
Pt 0.1491 0.6009 0.1491
Pt 0.3537 0.3537 0.8986
Pt 0.3537 0.8986 0.3537
Pt 0.3991 0.8509 0.8509
Pt 0.6009 0.1491 0.1491
Pt 0.6463 0.1014 0.6463
Pt 0.6463 0.6463 0.1014
Pt 0.8509 0.3991 0.8509
Pt 0.8509 0.8509 0.3991
Pt 0.8986 0.3537 0.3537

A relaxed SmErSi2Pt2 crystal, computed with GGA-PBE.

Summary:
Total magnetic moment (μB/f.u.): 0.00
Symmetry: No. 164
Raw total energy (eV per cell): -39.06
Uncorrected formation energy (eV/atom): -1.14

a b c (Å): 4.1586 4.1586 8.1458
angles (deg): 90.00 90.00 120.00
Fractional positions:
Sm 0.0000 0.0000 0.0000
Er 0.0000 0.0000 0.5000
Si 0.3333 0.6667 0.7446
Si 0.6667 0.3333 0.2554
Pt 0.3333 0.6667 0.2610
Pt 0.6667 0.3333 0.7390

A relaxed Sm2ErSi3Pt4 crystal, computed with GGA-PBE.

Summary:
Total magnetic moment (μB/f.u.): 0.00
Symmetry: No. 115
Raw total energy (eV per cell): -65.15
Uncorrected formation energy (eV/atom): -1.07

a b c (Å): 4.2476 4.2476 10.8061
angles (deg): 90.00 90.00 90.00
Fractional positions:
Sm 0.0000 0.5000 0.2262
Sm 0.5000 0.0000 0.7738
Er 0.0000 0.0000 0.5000
Si 0.0000 0.5000 0.8801
Si 0.5000 0.0000 0.1199
Si 0.5000 0.5000 0.5000
Pt 0.0000 0.0000 0.0000
Pt 0.0000 0.5000 0.6593
Pt 0.5000 0.0000 0.3407
Pt 0.5000 0.5000 0.0000

A relaxed SrErSi2Pt5 crystal, computed with GGA-PBE.

Summary:
Total magnetic moment (μB/f.u.): 0.00
Symmetry: No. 123
Raw total energy (eV per cell): -55.50
Uncorrected formation energy (eV/atom): -0.91

a b c (Å): 4.1322 4.1322 11.1470
angles (deg): 90.00 90.00 90.00
Fractional positions:
Sr 0.0000 0.0000 0.0000
Er 0.0000 0.0000 0.5000
Si 0.5000 0.5000 0.2104
Si 0.5000 0.5000 0.7896
Pt 0.0000 0.5000 0.3160
Pt 0.0000 0.5000 0.6840
Pt 0.5000 0.0000 0.3160
Pt 0.5000 0.0000 0.6840
Pt 0.5000 0.5000 0.0000

A relaxed Er2TaSi4Pt3 crystal, computed with GGA-PBE.

Summary:
Total magnetic moment (μB/f.u.): 0.00
Symmetry: No. 115
Raw total energy (eV per cell): -70.14
Uncorrected formation energy (eV/atom): -0.93

a b c (Å): 4.1357 4.1357 10.3556
angles (deg): 90.00 90.00 90.00
Fractional positions:
Er 0.0000 0.5000 0.2408
Er 0.5000 0.0000 0.7592
Ta 0.0000 0.0000 0.5000
Si 0.0000 0.0000 0.0000
Si 0.0000 0.5000 0.6465
Si 0.5000 0.0000 0.3535
Si 0.5000 0.5000 0.0000
Pt 0.0000 0.5000 0.8775
Pt 0.5000 0.0000 0.1225
Pt 0.5000 0.5000 0.5000

A relaxed TbEr2Si3Pt4 crystal, computed with GGA-PBE.

Summary:
Total magnetic moment (μB/f.u.): 0.00
Symmetry: No. 115
Raw total energy (eV per cell): -64.48
Uncorrected formation energy (eV/atom): -1.03

a b c (Å): 4.1483 4.1483 11.0990
angles (deg): 90.00 90.00 90.00
Fractional positions:
Tb 0.0000 0.0000 0.0000
Er 0.0000 0.5000 0.7224
Er 0.5000 0.0000 0.2776
Si 0.0000 0.5000 0.3773
Si 0.5000 0.0000 0.6227
Si 0.5000 0.5000 0.0000
Pt 0.0000 0.0000 0.5000
Pt 0.0000 0.5000 0.1657
Pt 0.5000 0.0000 0.8343
Pt 0.5000 0.5000 0.5000

A relaxed TbErSi2Pt5 crystal, computed with GGA-PBE.

Summary:
Total magnetic moment (μB/f.u.): 0.00
Symmetry: No. 123
Raw total energy (eV per cell): -60.17
Uncorrected formation energy (eV/atom): -1.10

a b c (Å): 4.1850 4.1850 8.9458
angles (deg): 90.00 90.00 90.00
Fractional positions:
Tb 0.0000 0.0000 0.0000
Er 0.0000 0.0000 0.5000
Si 0.5000 0.5000 0.3695
Si 0.5000 0.5000 0.6305
Pt 0.0000 0.5000 0.2365
Pt 0.0000 0.5000 0.7635
Pt 0.5000 0.0000 0.2365
Pt 0.5000 0.0000 0.7635
Pt 0.5000 0.5000 0.0000